i | {
  "formula": "Ac3Ga2Rh4",
  "functional": "PBE",
  "state": "optimized geometry",
  "cell": [[-3.938, 0.900, 1.363], [0.250, -5.316, -2.436], [2.335, -2.382, 8.319]],
  "species": ["Rh", "Rh", "Rh", "Rh", "Ac", "Ac", "Ac", "Ga", "Ga"],
  "frac_coords": [[0.717, 0.434, 0.089], [0.905, 0.811, 0.358], [0.095, 0.189, 0.642], [0.283, 0.566, 0.911], [0.379, 0.759, 0.620], [0.000, 0.000, 0.000], [0.621, 0.241, 0.380], [0.681, 0.363, 0.792], [0.319, 0.637, 0.208]],
  "spacegroup": "C2/m",
  "rho_g_cm3": 9.92,
  "total_magnetization_mub_per_fu": 0.0,
  "vol_a3_per_atom": 22.9,
  "dos_at_fermi_per_ev_cell": 4.6
}


ii | {
  "formula": "Ac3Ga2Rh4",
  "functional": "PBE",
  "state": "optimized geometry",
  "cell": [[-0.111, 1.120, 4.115], [-0.288, -6.296, -0.506], [8.307, 3.048, -0.606]],
  "species": ["Rh", "Rh", "Rh", "Rh", "Ac", "Ac", "Ac", "Ga", "Ga"],
  "frac_coords": [[0.094, 0.187, 0.427], [0.295, 0.589, 0.925], [0.906, 0.813, 0.573], [0.705, 0.411, 0.075], [0.631, 0.263, 0.707], [0.369, 0.737, 0.293], [0.000, 0.000, 0.000], [0.672, 0.343, 0.343], [0.328, 0.657, 0.657]],
  "spacegroup": "C2/m",
  "rho_g_cm3": 9.93,
  "total_magnetization_mub_per_fu": 0.0,
  "vol_a3_per_atom": 22.9,
  "dos_at_fermi_per_ev_cell": 4.0
}


Which of them is least stable? Easy: ii.


i | {
  "formula": "AcSmGaRh",
  "functional": "PBE",
  "state": "optimized geometry",
  "cell": [[4.477, 0.000, 0.000], [0.000, 4.419, 0.000], [-2.238, 0.000, 5.315]],
  "species": ["Rh", "Ga", "Sm", "Ac"],
  "frac_coords": [[0.424, 0.000, 0.849], [0.560, 0.500, 0.121], [0.864, 0.500, 0.729], [0.151, 0.000, 0.302]],
  "spacegroup": "Amm2",
  "rho_g_cm3": 8.69,
  "total_magnetization_mub_per_fu": 0.0,
  "vol_a3_per_atom": 26.3,
  "dos_at_fermi_per_ev_cell": 3.2
}


ii | {
  "formula": "AcSmGaRh",
  "functional": "PBE",
  "state": "optimized geometry",
  "cell": [[5.243, 0.000, 0.000], [2.622, 4.541, 0.000], [2.622, 1.514, 4.281]],
  "species": ["Ga", "Rh", "Ac", "Sm"],
  "frac_coords": [[0.250, 0.250, 0.250], [0.750, 0.750, 0.750], [0.000, 0.000, 0.000], [0.500, 0.500, 0.500]],
  "spacegroup": "F-43m",
  "rho_g_cm3": 8.96,
  "total_magnetization_mub_per_fu": 0.0,
  "vol_a3_per_atom": 25.5,
  "dos_at_fermi_per_ev_cell": 3.0
}


Which of them is least stable? Easy: ii.


i | {
  "formula": "AcGa2Ru",
  "functional": "PBE",
  "state": "optimized geometry",
  "cell": [[-2.676, 1.805, -2.791], [-2.957, -3.037, 0.871], [-2.131, 7.052, 6.604]],
  "species": ["Ga", "Ga", "Ga", "Ga", "Ac", "Ac", "Ru", "Ru"],
  "frac_coords": [[0.500, 0.000, 0.000], [0.500, 0.711, 0.422], [0.500, 0.289, 0.578], [0.000, 0.500, 0.000], [0.000, 0.858, 0.717], [0.000, 0.142, 0.283], [0.500, 0.424, 0.849], [0.500, 0.576, 0.151]],
  "spacegroup": "Cmmm",
  "rho_g_cm3": 8.71,
  "total_magnetization_mub_per_fu": 0.0,
  "vol_a3_per_atom": 22.3,
  "dos_at_fermi_per_ev_cell": 6.3
}


ii | {
  "formula": "AcGa2Ru",
  "functional": "PBE",
  "state": "optimized geometry",
  "cell": [[3.338, 0.000, 0.000], [0.000, 3.338, 0.000], [0.000, 0.000, 7.294]],
  "species": ["Ga", "Ga", "Ac", "Ru"],
  "frac_coords": [[0.000, 0.000, 0.180], [0.000, 0.000, 0.820], [0.500, 0.500, 0.500], [0.500, 0.500, 0.000]],
  "spacegroup": "P4/mmm",
  "rho_g_cm3": 9.55,
  "total_magnetization_mub_per_fu": 0.0,
  "vol_a3_per_atom": 20.3,
  "dos_at_fermi_per_ev_cell": 2.8
}


iii | {
  "formula": "AcGa2Ru",
  "functional": "PBE",
  "state": "optimized geometry",
  "cell": [[-2.823, 0.343, -3.267], [-5.324, -2.565, 1.466], [-3.145, 2.971, 0.151]],
  "species": ["Ga", "Ga", "Ru", "Ac"],
  "frac_coords": [[0.956, 0.134, 0.956], [0.545, 0.366, 0.544], [0.250, 0.250, 0.250], [0.750, 0.750, 0.750]],
  "spacegroup": "C2/m",
  "rho_g_cm3": 8.62,
  "total_magnetization_mub_per_fu": 0.0,
  "vol_a3_per_atom": 22.5,
  "dos_at_fermi_per_ev_cell": 3.3
}


Which of them is least stable? Easy: ii.


i | {
  "formula": "AcGa3Ru",
  "functional": "PBE",
  "state": "optimized geometry",
  "cell": [[4.819, 0.000, 0.000], [0.000, 4.819, 0.000], [0.000, 0.000, 4.819]],
  "species": ["Ga", "Ga", "Ga", "Ru", "Ac"],
  "frac_coords": [[0.500, 0.000, 0.000], [0.000, 0.000, 0.500], [0.000, 0.500, 0.000], [0.000, 0.000, 0.000], [0.500, 0.500, 0.500]],
  "spacegroup": "Pm-3m",
  "rho_g_cm3": 7.97,
  "total_magnetization_mub_per_fu": 0.0,
  "vol_a3_per_atom": 22.4,
  "dos_at_fermi_per_ev_cell": 2.0
}


ii | {
  "formula": "AcGa3Ru",
  "functional": "PBE",
  "state": "optimized geometry",
  "cell": [[6.626, 0.000, 0.000], [-3.313, 5.738, 0.000], [0.000, 0.000, 11.376]],
  "species": ["Ga", "Ga", "Ga", "Ga", "Ga", "Ga", "Ga", "Ga", "Ga", "Ga", "Ga", "Ga", "Ru", "Ru", "Ru", "Ru", "Ac", "Ac", "Ac", "Ac"],
  "frac_coords": [[0.713, 0.856, 0.750], [0.500, 0.500, 0.500], [0.000, 0.500, 0.500], [0.500, 0.000, 0.000], [0.144, 0.856, 0.750], [0.856, 0.144, 0.250], [0.287, 0.144, 0.250], [0.500, 0.000, 0.500], [0.144, 0.287, 0.750], [0.000, 0.500, 0.000], [0.500, 0.500, 0.000], [0.856, 0.713, 0.250], [0.667, 0.333, 0.124], [0.667, 0.333, 0.376], [0.333, 0.667, 0.624], [0.333, 0.667, 0.876], [0.667, 0.333, 0.750], [0.333, 0.667, 0.250], [0.000, 0.000, 0.500], [0.000, 0.000, 0.000]],
  "spacegroup": "P6_3/mmc",
  "rho_g_cm3": 8.25,
  "total_magnetization_mub_per_fu": 0.0,
  "vol_a3_per_atom": 21.6,
  "dos_at_fermi_per_ev_cell": 4.7
}


Which of them is least stable? Easy: i.


i | {
  "formula": "Ac2Ga6Ru",
  "functional": "PBE",
  "state": "optimized geometry",
  "cell": [[4.158, 0.000, 0.635], [0.000, 9.318, 0.000], [-0.815, -4.659, 5.333]],
  "species": ["Ac", "Ac", "Ga", "Ga", "Ga", "Ga", "Ga", "Ga", "Ru"],
  "frac_coords": [[0.500, 0.729, 0.458], [0.500, 0.271, 0.542], [0.000, 0.630, 0.736], [0.000, 0.105, 0.736], [0.000, 0.895, 0.264], [0.500, 0.174, 0.000], [0.500, 0.826, 0.000], [0.000, 0.370, 0.264], [0.000, 0.000, 0.000]],
  "spacegroup": "Cmmm",
  "rho_g_cm3": 7.64,
  "total_magnetization_mub_per_fu": 0.0,
  "vol_a3_per_atom": 23.5,
  "dos_at_fermi_per_ev_cell": 5.2
}


ii | {
  "formula": "Ac2Ga6Ru",
  "functional": "PBE",
  "state": "optimized geometry",
  "cell": [[5.630, 0.000, 3.251], [1.877, 5.308, 3.251], [0.000, 0.000, 6.501]],
  "species": ["Ga", "Ga", "Ga", "Ga", "Ga", "Ga", "Ru", "Ac", "Ac"],
  "frac_coords": [[0.716, 0.284, 0.716], [0.284, 0.284, 0.716], [0.284, 0.716, 0.716], [0.716, 0.716, 0.284], [0.716, 0.284, 0.284], [0.284, 0.716, 0.284], [0.000, 0.000, 0.000], [0.250, 0.250, 0.250], [0.750, 0.750, 0.750]],
  "spacegroup": "Fm-3m",
  "rho_g_cm3": 8.32,
  "total_magnetization_mub_per_fu": 0.0,
  "vol_a3_per_atom": 21.6,
  "dos_at_fermi_per_ev_cell": 7.7
}


Which of them is least stable? Easy: i.


i | {
  "formula": "Ac3Ga2Ru",
  "functional": "PBE",
  "state": "optimized geometry",
  "cell": [[4.176, 0.000, 0.000], [0.000, 13.251, 0.000], [0.000, 0.000, 13.077]],
  "species": ["Ga", "Ga", "Ga", "Ga", "Ga", "Ga", "Ga", "Ga", "Ac", "Ac", "Ac", "Ac", "Ac", "Ac", "Ac", "Ac", "Ac", "Ac", "Ac", "Ac", "Ru", "Ru", "Ru", "Ru"],
  "frac_coords": [[0.250, 0.490, 0.811], [0.250, 0.817, 0.974], [0.750, 0.510, 0.189], [0.750, 0.183, 0.026], [0.250, 0.683, 0.474], [0.250, 0.010, 0.311], [0.750, 0.317, 0.526], [0.750, 0.990, 0.689], [0.750, 0.953, 0.118], [0.250, 0.711, 0.226], [0.750, 0.289, 0.774], [0.750, 0.211, 0.274], [0.750, 0.547, 0.618], [0.750, 0.630, 0.954], [0.250, 0.453, 0.382], [0.250, 0.047, 0.882], [0.250, 0.130, 0.546], [0.250, 0.370, 0.046], [0.250, 0.789, 0.726], [0.750, 0.870, 0.454], [0.250, 0.380, 0.641], [0.750, 0.880, 0.859], [0.750, 0.620, 0.359], [0.250, 0.120, 0.141]],
  "spacegroup": "Pnma",
  "rho_g_cm3": 8.46,
  "total_magnetization_mub_per_fu": 0.0,
  "vol_a3_per_atom": 30.2,
  "dos_at_fermi_per_ev_cell": 22.2
}


ii | {
  "formula": "Ac3Ga2Ru",
  "functional": "PBE",
  "state": "optimized geometry",
  "cell": [[-1.800, -3.760, -0.413], [5.285, -4.400, -4.229], [13.427, -9.146, 3.504]],
  "species": ["Ga", "Ga", "Ga", "Ga", "Ac", "Ac", "Ac", "Ac", "Ac", "Ac", "Ru", "Ru"],
  "frac_coords": [[0.423, 0.623, 0.532], [0.011, 0.867, 0.110], [0.577, 0.377, 0.468], [0.989, 0.133, 0.890], [0.644, 0.681, 0.031], [0.186, 0.281, 0.346], [0.814, 0.719, 0.654], [0.082, 0.143, 0.693], [0.356, 0.319, 0.969], [0.918, 0.857, 0.307], [0.455, 0.332, 0.759], [0.545, 0.668, 0.241]],
  "spacegroup": "C2/m",
  "rho_g_cm3": 8.14,
  "total_magnetization_mub_per_fu": 0.0,
  "vol_a3_per_atom": 31.3,
  "dos_at_fermi_per_ev_cell": 10.5
}


Which of them is least stable? Easy: ii.


i | {
  "formula": "AcGaSb2",
  "functional": "PBE",
  "state": "optimized geometry",
  "cell": [[4.520, 0.000, 0.000], [2.260, 3.915, 0.000], [2.260, 1.305, 7.236]],
  "species": ["Ga", "Ac", "Sb", "Sb"],
  "frac_coords": [[0.000, 0.000, 0.000], [0.500, 0.500, 0.500], [0.735, 0.735, 0.794], [0.265, 0.265, 0.206]],
  "spacegroup": "R-3m",
  "rho_g_cm3": 7.01,
  "total_magnetization_mub_per_fu": 0.0,
  "vol_a3_per_atom": 32.0,
  "dos_at_fermi_per_ev_cell": 3.1
}


ii | {
  "formula": "AcGaSb2",
  "functional": "PBE",
  "state": "optimized geometry",
  "cell": [[-3.079, 0.217, -4.627], [-5.281, -1.744, 0.090], [-4.151, 3.679, -0.408]],
  "species": ["Sb", "Sb", "Ga", "Ac"],
  "frac_coords": [[0.750, 0.750, 0.750], [0.250, 0.250, 0.250], [0.500, 0.500, 0.500], [0.000, 0.000, 0.000]],
  "spacegroup": "Fm-3m",
  "rho_g_cm3": 7.37,
  "total_magnetization_mub_per_fu": 0.0,
  "vol_a3_per_atom": 30.4,
  "dos_at_fermi_per_ev_cell": 3.4
}


Which of them is least stable? Easy: i.


i | {
  "formula": "AcGaSb2",
  "functional": "PBE",
  "state": "optimized geometry",
  "cell": [[4.866, 0.000, 0.000], [0.000, 4.866, 0.000], [0.000, 0.000, 10.021]],
  "species": ["Ga", "Ga", "Ac", "Ac", "Sb", "Sb", "Sb", "Sb"],
  "frac_coords": [[0.500, 0.500, 0.000], [0.000, 0.000, 0.000], [0.500, 0.000, 0.742], [0.000, 0.500, 0.258], [0.500, 0.000, 0.150], [0.500, 0.500, 0.500], [0.000, 0.500, 0.850], [0.000, 0.000, 0.500]],
  "spacegroup": "P4/nmm",
  "rho_g_cm3": 7.56,
  "total_magnetization_mub_per_fu": 0.0,
  "vol_a3_per_atom": 29.7,
  "dos_at_fermi_per_ev_cell": 3.1
}


ii | {
  "formula": "AcGaSb2",
  "functional": "PBE",
  "state": "optimized geometry",
  "cell": [[4.751, 0.000, 0.000], [0.000, 4.905, 0.000], [0.000, 0.000, 4.905]],
  "species": ["Sb", "Sb", "Ac", "Ga"],
  "frac_coords": [[0.000, 0.500, 0.000], [0.000, 0.000, 0.500], [0.500, 0.500, 0.500], [0.500, 0.000, 0.000]],
  "spacegroup": "P4/mmm",
  "rho_g_cm3": 7.85,
  "total_magnetization_mub_per_fu": 0.0,
  "vol_a3_per_atom": 28.6,
  "dos_at_fermi_per_ev_cell": 2.0
}


Which of them is least stable? Easy: i.


i | {
  "formula": "AcGa2Sb",
  "functional": "PBE",
  "state": "optimized geometry",
  "cell": [[-4.390, 2.045, -0.243], [-3.940, -2.569, 1.179], [-2.307, 1.438, 5.396]],
  "species": ["Ga", "Ga", "Ac", "Sb"],
  "frac_coords": [[0.718, 0.718, 0.846], [0.282, 0.282, 0.154], [0.500, 0.500, 0.500], [0.000, 0.000, 0.000]],
  "spacegroup": "R-3m",
  "rho_g_cm3": 7.43,
  "total_magnetization_mub_per_fu": 0.0,
  "vol_a3_per_atom": 27.3,
  "dos_at_fermi_per_ev_cell": 1.5
}


ii | {
  "formula": "AcGa2Sb",
  "functional": "PBE",
  "state": "optimized geometry",
  "cell": [[4.646, 0.000, 0.000], [0.000, 4.789, 0.000], [0.000, 0.000, 4.789]],
  "species": ["Ga", "Ga", "Sb", "Ac"],
  "frac_coords": [[0.000, 0.000, 0.500], [0.000, 0.500, 0.000], [0.500, 0.000, 0.000], [0.500, 0.500, 0.500]],
  "spacegroup": "P4/mmm",
  "rho_g_cm3": 7.61,
  "total_magnetization_mub_per_fu": 0.0,
  "vol_a3_per_atom": 26.6,
  "dos_at_fermi_per_ev_cell": 0.7
}


iii | {
  "formula": "AcGa2Sb",
  "functional": "PBE",
  "state": "optimized geometry",
  "cell": [[3.867, 0.000, 0.000], [0.000, 3.867, 0.000], [0.000, 0.000, 6.961]],
  "species": ["Ac", "Ga", "Ga", "Sb"],
  "frac_coords": [[0.500, 0.500, 0.500], [0.000, 0.000, 0.800], [0.000, 0.000, 0.200], [0.500, 0.500, 0.000]],
  "spacegroup": "P4/mmm",
  "rho_g_cm3": 7.79,
  "total_magnetization_mub_per_fu": 0.0,
  "vol_a3_per_atom": 26.0,
  "dos_at_fermi_per_ev_cell": 3.3
}


iv | {
  "formula": "AcGa2Sb",
  "functional": "PBE",
  "state": "optimized geometry",
  "cell": [[-4.885, -1.984, 0.861], [-0.657, -4.138, 3.315], [-2.379, 0.717, 4.729]],
  "species": ["Ga", "Ga", "Sb", "Ac"],
  "frac_coords": [[0.750, 0.750, 0.750], [0.250, 0.250, 0.250], [0.500, 0.500, 0.500], [0.000, 0.000, 0.000]],
  "spacegroup": "Fm-3m",
  "rho_g_cm3": 7.52,
  "total_magnetization_mub_per_fu": 0.0,
  "vol_a3_per_atom": 27.0,
  "dos_at_fermi_per_ev_cell": 3.3
}


Which of them is least stable? Easy: iv.


i | {
  "formula": "Ac3GaSb",
  "functional": "PBE",
  "state": "optimized geometry",
  "cell": [[6.888, 0.000, 0.000], [0.000, 11.199, -0.838], [0.000, -4.410, 10.344]],
  "species": ["Ac", "Ac", "Ac", "Ac", "Ac", "Ac", "Ac", "Ac", "Ac", "Ac", "Ac", "Ac", "Sb", "Sb", "Sb", "Sb", "Ga", "Ga", "Ga", "Ga"],
  "frac_coords": [[0.250, 0.116, 0.884], [0.000, 0.750, 0.750], [0.250, 0.616, 0.384], [0.750, 0.431, 0.069], [0.500, 0.250, 0.250], [0.500, 0.750, 0.750], [0.750, 0.931, 0.569], [0.250, 0.069, 0.431], [0.250, 0.569, 0.931], [0.750, 0.384, 0.616], [0.750, 0.884, 0.116], [0.000, 0.250, 0.250], [0.250, 0.427, 0.573], [0.750, 0.073, 0.927], [0.750, 0.573, 0.427], [0.250, 0.927, 0.073], [0.250, 0.906, 0.595], [0.750, 0.094, 0.405], [0.750, 0.594, 0.905], [0.250, 0.406, 0.095]],
  "spacegroup": "P2_1/m",
  "rho_g_cm3": 7.50,
  "total_magnetization_mub_per_fu": 0.0,
  "vol_a3_per_atom": 38.6,
  "dos_at_fermi_per_ev_cell": 19.1
}


ii | {
  "formula": "Ac3GaSb",
  "functional": "PBE",
  "state": "optimized geometry",
  "cell": [[5.935, 0.000, 0.000], [0.000, 5.935, 0.000], [0.000, 0.000, 5.935]],
  "species": ["Ac", "Ac", "Ac", "Sb", "Ga"],
  "frac_coords": [[0.500, 0.000, 0.000], [0.000, 0.500, 0.000], [0.000, 0.000, 0.500], [0.500, 0.500, 0.500], [0.000, 0.000, 0.000]],
  "spacegroup": "Pm-3m",
  "rho_g_cm3": 6.93,
  "total_magnetization_mub_per_fu": 0.0,
  "vol_a3_per_atom": 41.8,
  "dos_at_fermi_per_ev_cell": 4.5
}


Which of them is least stable? Easy: ii.


i | {
  "formula": "Ac2GaSb",
  "functional": "PBE",
  "state": "optimized geometry",
  "cell": [[5.695, 0.000, 0.000], [2.848, 4.932, 0.000], [2.848, 1.644, 4.650]],
  "species": ["Sb", "Ac", "Ac", "Ga"],
  "frac_coords": [[0.500, 0.500, 0.500], [0.750, 0.750, 0.750], [0.250, 0.250, 0.250], [0.000, 0.000, 0.000]],
  "spacegroup": "Fm-3m",
  "rho_g_cm3": 8.21,
  "total_magnetization_mub_per_fu": 0.0,
  "vol_a3_per_atom": 32.7,
  "dos_at_fermi_per_ev_cell": 4.1
}


ii | {
  "formula": "Ac2GaSb",
  "functional": "PBE",
  "state": "optimized geometry",
  "cell": [[-1.626, 1.347, 4.118], [-0.786, -4.603, 1.195], [12.368, 1.547, 4.379]],
  "species": ["Ac", "Ac", "Ac", "Ac", "Ga", "Ga", "Sb", "Sb"],
  "frac_coords": [[0.750, 0.940, 0.879], [0.250, 0.317, 0.634], [0.250, 0.060, 0.121], [0.750, 0.683, 0.366], [0.250, 0.467, 0.935], [0.750, 0.533, 0.065], [0.250, 0.188, 0.376], [0.750, 0.812, 0.624]],
  "spacegroup": "Cmcm",
  "rho_g_cm3": 7.40,
  "total_magnetization_mub_per_fu": 0.0,
  "vol_a3_per_atom": 36.2,
  "dos_at_fermi_per_ev_cell": 5.7
}


Which of them is least stable? Easy: i.